[1]
Density functional theory data (PBE-GGA) for crystalline Y3Tl2Cu at its relaxed geometry.

Values from the calculation:
The value obtained for the formation energy is -0.301 eV per atom. Its volume is 637.09 Å³/cell. As for the density: 7.70 Mg/m³. The size of the total moment comes out at 0.074 μB per atom. For the total DFT energy (no corrections), the calculation gives -5.004 eV per atom.

abc: 12.263 4.520 11.493
angles: 90.00 90.00 90.00
Element x y z (fractional)
Y  0.052  0.250  0.134
Y  0.131  0.750  0.564
Y  0.228  0.250  0.799
Y  0.272  0.750  0.299
Y  0.369  0.250  0.064
Y  0.448  0.750  0.634
Y  0.552  0.250  0.366
Y  0.631  0.750  0.936
Y  0.728  0.250  0.701
Y  0.772  0.750  0.201
Y  0.869  0.250  0.436
Y  0.948  0.750  0.866
Tl  0.007  0.750  0.319
Tl  0.182  0.750  0.005
Tl  0.318  0.250  0.505
Tl  0.493  0.250  0.819
Tl  0.507  0.750  0.181
Tl  0.682  0.750  0.495
Tl  0.818  0.250  0.995
Tl  0.993  0.250  0.681
Cu  0.122  0.250  0.385
Cu  0.378  0.750  0.885
Cu  0.622  0.250  0.115
Cu  0.878  0.750  0.615

***

[2]
Density functional theory data (PBE-GGA) for crystalline Rb4La3RhO8 at its relaxed geometry.

Values from the calculation:
As for the formation energy (no corrections): -2.096 eV per atom. Its volume is 296.40 Å³/cell. As for the density: 5.54 Mg/m³. The size of the total moment comes out at 0.000 μB per atom. For the total DFT energy (no corrections), the calculation gives -6.201 eV per atom.

abc: 7.761 7.761 7.761
angles: 55.55 55.55 55.55
Element x y z (fractional)
Rb  0.000  0.000  0.000
Rb  0.000  0.500  0.500
Rb  0.500  0.000  0.500
Rb  0.500  0.500  0.000
La  0.000  0.000  0.500
La  0.000  0.500  0.000
La  0.500  0.000  0.000
Rh  0.500  0.500  0.500
O  0.228  0.228  0.228
O  0.248  0.715  0.715
O  0.285  0.285  0.752
O  0.285  0.752  0.285
O  0.715  0.248  0.715
O  0.715  0.715  0.248
O  0.752  0.285  0.285
O  0.772  0.772  0.772

***

[3]
Density functional theory data (PBE-GGA) for crystalline BOF2 at its relaxed geometry.

Values from the calculation:
The offset from the most stable computed form comes out at 0.2221 eV/atom. As for the formation energy (no corrections): -0.339 eV per atom. Its volume is 50.37 Å³/cell. As for the density: 2.14 Mg/m³. The size of the total moment comes out at 0.686 μB per atom. For the total DFT energy (no corrections), the calculation gives -4.184 eV per atom.

abc: 8.143 8.143 8.143
angles: 19.07 19.07 19.07
Element x y z (fractional)
B  0.000  0.000  0.000
O  0.500  0.500  0.500
F  0.055  0.055  0.055
F  0.945  0.945  0.945

***

[4]
Density functional theory data (PBE-GGA) for crystalline Pa2Sb2AuN2 at its relaxed geometry.

Values from the calculation:
As for the formation energy (no corrections): -0.645 eV per atom. Its volume is 156.93 Å³/cell. As for the density: 9.85 Mg/m³. The size of the total moment comes out at 0.075 μB per atom. For the total DFT energy (no corrections), the calculation gives -7.383 eV per atom.

abc: 3.815 3.815 12.449
angles: 90.00 90.00 120.00
Element x y z (fractional)
Pa  0.333  0.667  0.306
Pa  0.667  0.333  0.694
Sb  0.000  0.000  0.111
Sb  0.000  0.000  0.889
Au  0.000  0.000  0.500
N  0.333  0.667  0.683
N  0.667  0.333  0.317

***

[5]
Density functional theory data (PBE-GGA) for crystalline YMg2Mo at its relaxed geometry.

Values from the calculation:
The offset from the most stable computed form comes out at 0.0150 eV/atom. The value obtained for the formation energy is 0.297 eV per atom. Its volume is 87.71 Å³/cell. As for the density: 4.42 Mg/m³. The size of the total moment comes out at 0.115 μB per atom. For the total DFT energy (no corrections), the calculation gives -4.824 eV per atom.

abc: 6.097 6.097 6.097
angles: 147.97 132.64 58.32
Element x y z (fractional)
Y  0.000  0.000  0.000
Mg  0.276  0.776  0.500
Mg  0.724  0.224  0.500
Mo  0.500  0.500  0.000

***

[6]
Density functional theory data (PBE-GGA) for crystalline NiMoN at its relaxed geometry.

Values from the calculation:
The offset from the most stable computed form comes out at 0.2292 eV/atom. As for the formation energy (no corrections): 0.188 eV per atom. Its volume is 36.31 Å³/cell. As for the density: 7.71 Mg/m³. The size of the total moment comes out at 0.000 μB per atom. For the total DFT energy (no corrections), the calculation gives -8.124 eV per atom.

abc: 3.395 3.395 3.637
angles: 90.00 90.00 120.00
Element x y z (fractional)
Ni  0.000  0.000  0.000
Mo  0.667  0.333  0.500
N  0.333  0.667  0.500

***

Question: Which value of size of the total moment does entry 2 give?
Answer: 0.000 μB per atom

***

Question: What is the formula in the third record?
Answer: BOF2

***

Question: The lowest total DFT energy (no corrections) belongs to which entry?
Answer: NiMoN